Version P
PtRhN2: optimized geometry, PBE.

Lattice parameters (Å, degrees): 3.920 3.920 3.920 60.00 60.00 60.00
Fractional coordinates of all 4 atoms:
N (0.250, 0.250, 0.250)
Rh (0.000, 0.000, 0.000)
Pt (0.500, 0.500, 0.500)
N (0.750, 0.750, 0.750)

The size of the total moment is 0.0 μB/f.u. As for the calculated volume: 10.7 Å³ per atom.


Version Q
PtRhN2: optimized geometry, PBE.

Lattice parameters (Å, degrees): 6.479 6.479 6.479 26.35 26.35 26.35
Fractional coordinates of all 4 atoms:
N (0.896, 0.896, 0.896)
Rh (0.500, 0.500, 0.500)
N (0.104, 0.104, 0.104)
Pt (0.000, 0.000, 0.000)

The size of the total moment is 0.0 μB/f.u. As for the calculated volume: 11.8 Å³ per atom.


It is version P that is the least stable of them.


Version P
Pt3RhN: optimized geometry, PBE.

Lattice parameters (Å, degrees): 4.161 4.161 4.161 90.00 90.00 90.00
Fractional coordinates of all 5 atoms:
N (0.000, 0.000, 0.000)
Pt (0.000, 0.000, 0.500)
Pt (0.500, 0.000, 0.000)
Rh (0.500, 0.500, 0.500)
Pt (0.000, 0.500, 0.000)

The size of the total moment is 0.0 μB/f.u. As for the calculated volume: 14.4 Å³ per atom.


Version Q
Pt3RhN: optimized geometry, PBE.

Lattice parameters (Å, degrees): 4.786 4.786 4.786 90.00 90.00 90.00
Fractional coordinates of all 5 atoms:
Pt (0.000, 0.500, 0.000)
Pt (0.500, 0.000, 0.000)
N (0.500, 0.500, 0.500)
Rh (0.000, 0.000, 0.000)
Pt (0.000, 0.000, 0.500)

The size of the total moment is 0.0 μB/f.u. As for the calculated volume: 21.9 Å³ per atom.


It is version Q that is the least stable of them.


Version P
Pt2RhN2: optimized geometry, PBE.

Lattice parameters (Å, degrees): 5.165 5.165 4.483 54.83 54.83 90.00
Fractional coordinates of all 5 atoms:
N (0.613, 0.613, 0.775)
Pt (0.250, 0.750, 0.500)
Rh (0.000, 0.000, 0.000)
Pt (0.750, 0.250, 0.500)
N (0.387, 0.387, 0.225)

The size of the total moment is 0.0 μB/f.u. As for the calculated volume: 13.9 Å³ per atom.


Version Q
Pt2RhN2: optimized geometry, PBE.

Lattice parameters (Å, degrees): 5.809 5.809 3.871 90.00 90.00 90.00
Fractional coordinates of all 10 atoms:
Pt (0.333, 0.167, 0.500)
Pt (0.167, 0.667, 0.500)
N (0.182, 0.682, 0.000)
N (0.318, 0.182, 0.000)
N (0.818, 0.318, 0.000)
Rh (0.000, 0.000, 0.000)
N (0.682, 0.818, 0.000)
Pt (0.833, 0.333, 0.500)
Pt (0.667, 0.833, 0.500)
Rh (0.500, 0.500, 0.000)

The size of the total moment is 0.0 μB/f.u. As for the calculated volume: 13.1 Å³ per atom.


It is version P that is the least stable of them.


Version P
PtRhS2N: optimized geometry, PBE.

Lattice parameters (Å, degrees): 4.883 4.883 3.618 90.00 90.00 90.00
Fractional coordinates of all 5 atoms:
N (0.000, 0.000, 0.500)
Rh (0.500, 0.500, 0.500)
Pt (0.000, 0.000, 0.000)
S (0.500, 0.000, 0.000)
S (0.000, 0.500, 0.000)

The size of the total moment is 0.6 μB/f.u. As for the calculated volume: 17.3 Å³ per atom.


Version Q
PtRhS2N: optimized geometry, PBE.

Lattice parameters (Å, degrees): 4.804 4.804 3.580 90.00 90.00 90.00
Fractional coordinates of all 5 atoms:
S (0.000, 0.500, 0.000)
N (0.000, 0.000, 0.500)
S (0.500, 0.000, 0.000)
Rh (0.000, 0.000, 0.000)
Pt (0.500, 0.500, 0.500)

The size of the total moment is 0.0 μB/f.u. As for the calculated volume: 16.5 Å³ per atom.


It is version P that is the least stable of them.


Version P
PtRhSeN2: optimized geometry, PBE.

Lattice parameters (Å, degrees): 3.717 3.717 5.929 90.00 90.00 90.00
Fractional coordinates of all 5 atoms:
Se (0.000, 0.000, 0.500)
Pt (0.500, 0.500, 0.500)
N (0.500, 0.000, 0.000)
Rh (0.000, 0.000, 0.000)
N (0.000, 0.500, 0.000)

The size of the total moment is 0.4 μB/f.u. As for the calculated volume: 16.4 Å³ per atom.


Version Q
PtRhSeN2: optimized geometry, PBE.

Lattice parameters (Å, degrees): 3.677 3.677 8.134 90.00 90.00 90.00
Fractional coordinates of all 5 atoms:
Rh (0.500, 0.500, 0.500)
N (0.500, 0.000, 0.000)
N (0.000, 0.500, 0.000)
Pt (0.000, 0.000, 0.000)
Se (0.000, 0.000, 0.500)

The size of the total moment is 0.3 μB/f.u. As for the calculated volume: 22.0 Å³ per atom.


It is version Q that is the least stable of them.


Version P
TePtRhN2: optimized geometry, PBE.

Lattice parameters (Å, degrees): 3.782 3.782 6.137 90.00 90.00 90.00
Fractional coordinates of all 5 atoms:
Rh (0.000, 0.000, 0.000)
N (0.000, 0.500, 0.000)
Pt (0.500, 0.500, 0.500)
Te (0.000, 0.000, 0.500)
N (0.500, 0.000, 0.000)

The size of the total moment is 0.5 μB/f.u. As for the calculated volume: 17.6 Å³ per atom.


Version Q
TePtRhN2: optimized geometry, PBE.

Lattice parameters (Å, degrees): 3.735 3.735 7.841 90.00 90.00 90.00
Fractional coordinates of all 5 atoms:
Pt (0.000, 0.000, 0.000)
Rh (0.500, 0.500, 0.500)
N (0.500, 0.000, 0.000)
Te (0.000, 0.000, 0.500)
N (0.000, 0.500, 0.000)

The size of the total moment is 0.1 μB/f.u. As for the calculated volume: 21.9 Å³ per atom.


It is version Q that is the least stable of them.


Version P
Ru2PtN2: optimized geometry, PBE.

Lattice parameters (Å, degrees): 3.814 3.814 4.992 67.54 67.54 90.00
Fractional coordinates of all 5 atoms:
Ru (0.250, 0.750, 0.500)
N (0.350, 0.350, 0.300)
Ru (0.750, 0.250, 0.500)
Pt (0.000, 0.000, 0.000)
N (0.650, 0.650, 0.700)

The size of the total moment is 0.0 μB/f.u. As for the calculated volume: 12.2 Å³ per atom.


Version Q
Ru2PtN2: optimized geometry, PBE.

Lattice parameters (Å, degrees): 6.541 6.541 2.650 90.00 90.00 90.00
Fractional coordinates of all 10 atoms:
N (0.874, 0.626, 0.000)
Ru (0.858, 0.358, 0.500)
N (0.126, 0.374, 0.000)
Pt (0.500, 0.500, 0.000)
Ru (0.358, 0.142, 0.500)
Ru (0.642, 0.858, 0.500)
Pt (0.000, 0.000, 0.000)
N (0.374, 0.874, 0.000)
N (0.626, 0.126, 0.000)
Ru (0.142, 0.642, 0.500)

The size of the total moment is 0.0 μB/f.u. As for the calculated volume: 11.3 Å³ per atom.


It is version Q that is the least stable of them.


Version P
RuPt3N: optimized geometry, PBE.

Lattice parameters (Å, degrees): 4.819 4.819 4.819 90.00 90.00 90.00
Fractional coordinates of all 5 atoms:
Pt (0.500, 0.000, 0.000)
Pt (0.000, 0.500, 0.000)
Pt (0.000, 0.000, 0.500)
N (0.500, 0.500, 0.500)
Ru (0.000, 0.000, 0.000)

The size of the total moment is 2.8 μB/f.u. As for the calculated volume: 22.4 Å³ per atom.


Version Q
RuPt3N: optimized geometry, PBE.

Lattice parameters (Å, degrees): 4.169 4.169 4.169 90.00 90.00 90.00
Fractional coordinates of all 5 atoms:
Pt (0.500, 0.000, 0.000)
Pt (0.000, 0.500, 0.000)
Pt (0.000, 0.000, 0.500)
N (0.000, 0.000, 0.000)
Ru (0.500, 0.500, 0.500)

The size of the total moment is 1.9 μB/f.u. As for the calculated volume: 14.5 Å³ per atom.


It is version P that is the least stable of them.


Version P
Pt2SN: optimized geometry, PBE.

Lattice parameters (Å, degrees): 4.201 4.201 4.201 60.00 60.00 60.00
Fractional coordinates of all 4 atoms:
Pt (0.750, 0.750, 0.750)
S (0.500, 0.500, 0.500)
Pt (0.250, 0.250, 0.250)
N (0.000, 0.000, 0.000)

The size of the total moment is 0.0 μB/f.u. As for the calculated volume: 13.1 Å³ per atom.


Version Q
Pt2SN: optimized geometry, PBE.

Lattice parameters (Å, degrees): 4.639 4.639 6.816 70.11 70.11 90.00
Fractional coordinates of all 8 atoms:
Pt (0.542, 0.125, 0.250)
N (0.250, 0.750, 0.500)
Pt (0.875, 0.792, 0.750)
Pt (0.375, 0.458, 0.750)
S (0.000, 0.000, 0.000)
Pt (0.208, 0.625, 0.250)
N (0.500, 0.500, 0.000)
S (0.750, 0.250, 0.500)

The size of the total moment is 0.0 μB/f.u. As for the calculated volume: 16.1 Å³ per atom.


It is version P that is the least stable of them.


Version P
ScPtS2N: optimized geometry, PBE.

Lattice parameters (Å, degrees): 4.909 4.909 3.705 90.00 90.00 90.00
Fractional coordinates of all 5 atoms:
Sc (0.500, 0.500, 0.500)
N (0.000, 0.000, 0.500)
S (0.000, 0.500, 0.000)
Pt (0.000, 0.000, 0.000)
S (0.500, 0.000, 0.000)

The size of the total moment is 0.0 μB/f.u. As for the calculated volume: 17.9 Å³ per atom.


Version Q
ScPtS2N: optimized geometry, PBE.

Lattice parameters (Å, degrees): 4.909 4.909 3.944 90.00 90.00 90.00
Fractional coordinates of all 5 atoms:
Pt (0.500, 0.500, 0.500)
S (0.500, 0.000, 0.000)
S (0.000, 0.500, 0.000)
N (0.000, 0.000, 0.500)
Sc (0.000, 0.000, 0.000)

The size of the total moment is 0.0 μB/f.u. As for the calculated volume: 19.0 Å³ per atom.


It is version Q that is the least stable of them.


Version P
ScPtSN2: optimized geometry, PBE.

Lattice parameters (Å, degrees): 3.887 3.887 4.971 90.00 90.00 90.00
Fractional coordinates of all 5 atoms:
N (0.000, 0.500, 0.000)
Pt (0.000, 0.000, 0.000)
S (0.000, 0.000, 0.500)
N (0.500, 0.000, 0.000)
Sc (0.500, 0.500, 0.500)

The size of the total moment is 0.3 μB/f.u. As for the calculated volume: 15.0 Å³ per atom.


Version Q
ScPtSN2: optimized geometry, PBE.

Lattice parameters (Å, degrees): 4.021 4.021 5.160 90.00 90.00 90.00
Fractional coordinates of all 5 atoms:
N (0.000, 0.500, 0.000)
Sc (0.000, 0.000, 0.000)
Pt (0.500, 0.500, 0.500)
N (0.500, 0.000, 0.000)
S (0.000, 0.000, 0.500)

The size of the total moment is 1.9 μB/f.u. As for the calculated volume: 16.7 Å³ per atom.


It is version Q that is the least stable of them.


Version P
PtSe2SN: optimized geometry, PBE.

Lattice parameters (Å, degrees): 5.194 5.194 3.662 90.00 90.00 90.00
Fractional coordinates of all 5 atoms:
Se (0.500, 0.000, 0.000)
N (0.000, 0.000, 0.500)
S (0.500, 0.500, 0.500)
Se (0.000, 0.500, 0.000)
Pt (0.000, 0.000, 0.000)

The size of the total moment is 0.0 μB/f.u. As for the calculated volume: 19.8 Å³ per atom.


Version Q
PtSe2SN: optimized geometry, PBE.

Lattice parameters (Å, degrees): 5.015 5.015 3.218 90.00 90.00 90.00
Fractional coordinates of all 5 atoms:
Se (0.000, 0.500, 0.000)
S (0.000, 0.000, 0.000)
N (0.000, 0.000, 0.500)
Se (0.500, 0.000, 0.000)
Pt (0.500, 0.500, 0.500)

The size of the total moment is 0.0 μB/f.u. As for the calculated volume: 16.2 Å³ per atom.


It is version Q that is the least stable of them.